No. 1
Here is a geometry-optimized FeGePd2 structure from OQMD via LeMat-Bulk. Energies are from PBE-GGA.

```
FeGePd2
1.0
0.000 3.072 3.072
3.072 0.000 3.072
3.072 3.072 0.000
Fe Ge Pd
1 1 2
Cartesian
1.536 1.536 1.536
3.072 3.072 3.072
0.000 0.000 0.000
4.608 4.608 4.608
```

**E**: -23.86 eV per cell

***

No. 2
Here is a geometry-optimized FeGe2Pd structure from OQMD via LeMat-Bulk. Energies are from PBE-GGA.

```
FeGe2Pd
1.0
0.000 3.149 3.149
3.149 0.000 3.149
3.149 3.149 0.000
Fe Ge Pd
1 2 1
Cartesian
1.574 1.574 1.574
0.000 0.000 0.000
4.723 4.723 4.723
3.149 3.149 3.149
```

**E**: -22.05 eV per cell

***

No. 3
Here is a geometry-optimized Fe2GePd structure from OQMD via LeMat-Bulk. Energies are from PBE-GGA.

```
Fe2GePd
1.0
0.000 2.996 2.996
2.996 0.000 2.996
2.996 2.996 0.000
Fe Ge Pd
2 1 1
Cartesian
0.000 0.000 0.000
4.495 4.495 4.495
2.996 2.996 2.996
1.498 1.498 1.498
```

**E**: -26.81 eV per cell

***

No. 4
Here is a geometry-optimized Pr2FeGe4Pd structure from OQMD via LeMat-Bulk. Energies are from PBE-GGA.

```
Pr2FeGe4Pd
1.0
-0.034 1.078 -4.241
-6.641 -5.539 -1.355
-8.562 -1.778 -0.383
Fe Ge Pd Pr
1 4 1 2
Cartesian
-12.398 -5.967 -1.417
-0.552 0.282 -2.181
-3.908 -1.881 -0.447
-11.561 -5.017 -3.440
-14.479 -6.969 -1.655
-2.746 -0.774 -2.432
-6.015 -2.348 -2.806
-9.224 -4.439 -1.054
```

**E**: -46.78 eV per cell

***

No. 5
Here is a geometry-optimized Pr2FeGe4Pd structure from OQMD via LeMat-Bulk. Energies are from PBE-GGA.

```
Pr2FeGe4Pd
1.0
4.440 0.000 0.000
0.000 4.338 0.000
-2.068 0.000 8.384
Fe Ge Pd Pr
1 4 1 2
Cartesian
2.519 2.169 5.212
0.034 0.000 0.637
2.157 0.000 4.294
0.285 2.169 4.367
2.296 2.169 7.553
-0.104 0.000 3.083
2.231 2.169 1.750
0.071 0.000 6.640
```

**E**: -46.72 eV per cell

***

No. 6
Here is a geometry-optimized FeGePdPt structure from OQMD via LeMat-Bulk. Energies are from PBE-GGA.

```
FeGePdPt
1.0
0.000 3.086 3.086
3.086 0.000 3.086
3.086 3.086 0.000
Fe Ge Pd Pt
1 1 1 1
Cartesian
4.629 4.629 4.629
0.000 0.000 0.000
3.086 3.086 3.086
1.543 1.543 1.543
```

**E**: -24.63 eV per cell

***

No. 7
Here is a geometry-optimized ScFeGePd structure from OQMD via LeMat-Bulk. Energies are from PBE-GGA.

```
ScFeGePd
1.0
-0.231 0.311 4.467
-3.463 -1.812 2.198
0.615 -3.646 2.536
Fe Ge Pd Sc
1 1 1 1
Cartesian
-2.309 -3.860 6.900
0.000 0.000 0.000
-1.539 -2.573 4.600
-0.770 -1.287 2.300
```

**E**: -25.88 eV per cell

***

No. 8
Here is a geometry-optimized ScFeGePd structure from OQMD via LeMat-Bulk. Energies are from PBE-GGA.

```
ScFeGePd
1.0
4.169 0.919 1.000
1.075 1.123 4.100
2.317 -2.764 2.494
Fe Ge Pd Sc
1 1 1 1
Cartesian
5.671 -0.541 5.695
0.000 0.000 0.000
1.890 -0.180 1.898
3.780 -0.361 3.797
```

**E**: -26.21 eV per cell

***

No. 9
Here is a geometry-optimized FeTcGePd structure from OQMD via LeMat-Bulk. Energies are from PBE-GGA.

```
FeTcGePd
1.0
0.000 3.045 3.045
3.045 0.000 3.045
3.045 3.045 0.000
Fe Ge Pd Tc
1 1 1 1
Cartesian
4.568 4.568 4.568
0.000 0.000 0.000
3.045 3.045 3.045
1.523 1.523 1.523
```

**E**: -28.13 eV per cell

***

No. 10
Here is a geometry-optimized YFeGePd structure from OQMD via LeMat-Bulk. Energies are from PBE-GGA.

```
YFeGePd
1.0
1.857 -1.343 3.974
-2.598 -0.267 3.772
-1.069 -4.098 1.763
Fe Ge Pd Y
1 1 1 1
Cartesian
-1.357 -4.281 7.131
0.000 0.000 0.000
-0.452 -1.427 2.377
-0.905 -2.854 4.754
```

**E**: -25.70 eV per cell

***

No. 11
Here is a geometry-optimized YFeGePd structure from OQMD via LeMat-Bulk. Energies are from PBE-GGA.

```
YFeGePd
1.0
0.000 3.309 3.309
3.309 0.000 3.309
3.309 3.309 0.000
Fe Ge Pd Y
1 1 1 1
Cartesian
4.963 4.963 4.963
0.000 0.000 0.000
3.309 3.309 3.309
1.654 1.654 1.654
```

**E**: -25.66 eV per cell

***

No. 12
Here is a geometry-optimized ZrFeGePd structure from OQMD via LeMat-Bulk. Energies are from PBE-GGA.

```
ZrFeGePd
1.0
0.000 3.202 3.202
3.202 0.000 3.202
3.202 3.202 0.000
Fe Ge Pd Zr
1 1 1 1
Cartesian
4.804 4.804 4.804
0.000 0.000 0.000
3.202 3.202 3.202
1.601 1.601 1.601
```

**E**: -27.85 eV per cell

***

No. 13
Here is a geometry-optimized ZrFeGePd structure from OQMD via LeMat-Bulk. Energies are from PBE-GGA.

```
ZrFeGePd
1.0
-4.025 -1.638 1.033
-3.680 2.327 -0.995
-2.731 -1.418 -3.237
Fe Ge Pd Zr
1 1 1 1
Cartesian
-7.827 -0.547 -2.400
0.000 0.000 0.000
-2.609 -0.182 -0.800
-5.218 -0.365 -1.600
```

**E**: -28.09 eV per cell

***

No. 14
Here is a geometry-optimized Pm3Fe2Ge7 structure from OQMD via LeMat-Bulk. Energies are from PBE-GGA.

```
Pm3Fe2Ge7
1.0
4.262 0.000 0.000
0.000 4.286 0.000
-2.131 0.000 12.682
Fe Ge Pm
2 7 3
Cartesian
3.197 2.143 3.124
-1.067 2.143 9.558
3.198 2.143 0.795
3.200 0.000 4.051
1.067 2.143 4.061
1.065 0.000 6.341
1.064 2.143 8.620
-1.069 0.000 8.631
-1.067 2.143 11.887
1.068 0.000 1.658
-1.066 2.143 6.341
1.063 0.000 11.024
```

**E**: -69.99 eV per cell

***

No. 15
Here is a geometry-optimized Pr6Fe13Ge structure from OQMD via LeMat-Bulk. Energies are from PBE-GGA.

```
Pr6Fe13Ge
1.0
3.651 -12.356 -1.682
5.848 -7.901 8.496
-9.806 8.382 -1.551
Fe Ge Pr
26 2 12
Cartesian
4.019 -8.069 5.814
5.139 -10.458 6.617
3.727 -10.991 2.270
3.233 -11.991 -0.016
1.916 -9.816 0.732
3.704 -13.629 2.014
-1.549 -0.798 -0.214
3.513 -10.292 4.643
-3.078 -1.987 -1.616
-3.724 0.421 -1.112
-1.936 -3.392 0.170
-2.932 0.638 1.251
-1.812 -1.751 2.054
-1.979 0.240 3.473
1.505 -10.125 3.209
2.625 -12.513 4.012
1.629 -8.483 5.093
3.417 -12.296 6.376
-3.821 -1.583 0.620
1.242 -11.077 5.477
-4.011 1.753 3.249
-2.223 -2.059 4.532
-3.540 0.116 5.279
-4.034 -0.885 2.993
-5.446 -1.417 -1.354
-4.326 -3.806 -0.551
2.375 -5.064 1.703
7.124 -15.193 5.110
1.026 -2.188 0.736
3.723 -7.940 2.671
5.776 -12.317 4.143
8.473 -18.069 6.078
0.389 -5.224 -0.948
2.658 -5.493 4.980
-0.482 -9.038 -1.181
0.247 -7.560 2.194
-0.554 -4.315 3.069
0.175 -2.838 6.444
-2.965 -6.383 0.283
-0.696 -6.651 6.211
```

**E**: -285.57 eV per cell

***

No. 16
Here is a geometry-optimized SrPrFe2Ge4 structure from OQMD via LeMat-Bulk. Energies are from PBE-GGA.

```
SrPrFe2Ge4
1.0
-1.508 2.158 -3.368
-7.026 -5.339 -0.274
-8.250 -2.069 2.369
Fe Ge Pr Sr
2 4 1 1
Cartesian
-4.842 -2.348 0.664
-11.154 -3.965 -0.257
-4.558 -0.766 -1.162
-6.978 -3.384 0.957
-9.087 -2.962 -0.541
-11.427 -5.542 1.567
-1.670 -0.810 0.229
-14.403 -5.540 0.188
```

**E**: -44.64 eV per cell

***

No. 17
Here is a geometry-optimized PrYFe2Ge4 structure from OQMD via LeMat-Bulk. Energies are from PBE-GGA.

```
PrYFe2Ge4
1.0
4.392 0.000 0.000
0.000 4.236 0.000
-2.011 0.000 7.958
Fe Ge Pr Y
2 4 1 1
Cartesian
1.457 2.118 0.885
0.939 0.000 7.100
0.822 0.000 0.008
3.577 2.118 0.041
1.156 2.118 3.162
1.221 0.000 4.768
-0.939 2.118 5.619
3.300 0.000 2.292
```

**E**: -50.65 eV per cell

***

No. 18
Here is a geometry-optimized PrYFe2Ge4 structure from OQMD via LeMat-Bulk. Energies are from PBE-GGA.

```
PrYFe2Ge4
1.0
4.257 0.000 0.000
0.000 2.133 8.280
0.000 -2.133 8.280
Fe Ge Pr Y
2 4 1 1
Cartesian
0.000 0.000 5.235
2.128 0.000 11.344
2.128 0.000 4.169
0.000 0.000 7.505
2.128 0.000 9.026
0.000 0.000 12.442
0.000 0.000 1.765
2.128 0.000 14.754
```

**E**: -50.22 eV per cell

***

No. 19
Here is a geometry-optimized FeGePt2 structure from OQMD via LeMat-Bulk. Energies are from PBE-GGA.

```
FeGePt2
1.0
3.446 -2.111 1.603
-0.430 -4.076 1.451
1.758 -3.296 -2.225
Fe Ge Pt
1 1 2
Cartesian
1.194 -2.371 0.207
2.387 -4.742 0.414
0.000 0.000 0.000
3.581 -7.113 0.622
```

**E**: -25.32 eV per cell

***

No. 20
Here is a geometry-optimized FeGePtW structure from OQMD via LeMat-Bulk. Energies are from PBE-GGA.

```
FeGePtW
1.0
0.000 3.100 3.100
3.100 0.000 3.100
3.100 3.100 0.000
Fe Ge Pt W
1 1 1 1
Cartesian
4.649 4.649 4.649
0.000 0.000 0.000
1.550 1.550 1.550
3.100 3.100 3.100
```

**E**: -30.79 eV per cell